# 1
This record from the Alexandria database describes a relaxed structure of TbHo3Rh8. The functional is PBE.

Unit cell a=9.2292 b=9.2292 c=9.2292 alpha=33.58 beta=33.58 gamma=33.58
Positions (direct):
Tb (0.0000, 0.0000, 0.0000)
Ho (0.1254, 0.1254, 0.1254)
Ho (0.4998, 0.4998, 0.4998)
Ho (0.6250, 0.6250, 0.6250)
Rh (0.0624, 0.0624, 0.5621)
Rh (0.0624, 0.5621, 0.0624)
Rh (0.0628, 0.5627, 0.5627)
Rh (0.3125, 0.3125, 0.3125)
Rh (0.5621, 0.0624, 0.0624)
Rh (0.5627, 0.0628, 0.5627)
Rh (0.5627, 0.5627, 0.0628)
Rh (0.8125, 0.8125, 0.8125)

## Properties
As for the distance to the lowest polymorph of the same formula: 0 meV/atom. As for the formation energy: -0.753 eV/atom. The value obtained for the total energy is -7.18 eV/atom.

=====

# 2
This record from the Alexandria database describes a relaxed structure of Si2SnH. The functional is PBE.

Unit cell a=4.5433 b=4.5433 c=4.5433 alpha=60.00 beta=60.00 gamma=60.00
Positions (direct):
Si (0.2500, 0.2500, 0.2500)
Si (0.7500, 0.7500, 0.7500)
Sn (0.0000, 0.0000, 0.0000)
H (0.5000, 0.5000, 0.5000)

## Properties
As for the distance to the lowest polymorph of the same formula: 326 meV/atom. The value obtained for the total energy is -3.71 eV/atom.

=====

# 3
This record from the Alexandria database describes a relaxed structure of Co2IrSBr. The functional is PBE.

Unit cell a=4.9540 b=4.9540 c=4.2708 alpha=90.00 beta=90.00 gamma=90.00
Positions (direct):
Co (0.0000, 0.5000, 0.0000)
Co (0.5000, 0.0000, 0.0000)
Ir (0.0000, 0.0000, 0.0000)
S (0.0000, 0.0000, 0.5000)
Br (0.5000, 0.5000, 0.5000)

## Properties
The value obtained for the raw formation energy is 0.803 eV/atom. The value obtained for the total energy is -4.97 eV/atom.

=====

# 4
This record from the Alexandria database describes a relaxed structure of Cs3CdIr. The functional is PBE.

Unit cell a=6.4423 b=6.4423 c=6.4423 alpha=90.00 beta=90.00 gamma=90.00
Positions (direct):
Cs (0.0000, 0.0000, 0.5000)
Cs (0.0000, 0.5000, 0.0000)
Cs (0.5000, 0.0000, 0.0000)
Cd (0.5000, 0.5000, 0.5000)
Ir (0.0000, 0.0000, 0.0000)

## Properties
As for the distance to the lowest polymorph of the same formula: 0 meV/atom. As for the formation energy: 0.597 eV/atom. The value obtained for the total energy is -1.87 eV/atom.

=====

# 5
This record from the Alexandria database describes a relaxed structure of ErScTl6. The functional is PBE.

Unit cell a=4.7203 b=4.7203 c=9.4195 alpha=90.00 beta=90.00 gamma=90.00
Positions (direct):
Er (0.0000, 0.0000, 0.0000)
Sc (0.0000, 0.0000, 0.5000)
Tl (0.0000, 0.5000, 0.2549)
Tl (0.0000, 0.5000, 0.7451)
Tl (0.5000, 0.0000, 0.2549)
Tl (0.5000, 0.0000, 0.7451)
Tl (0.5000, 0.5000, 0.0000)
Tl (0.5000, 0.5000, 0.5000)

## Properties
As for the formation energy: -0.147 eV/atom. The value obtained for the total energy is -3.28 eV/atom.

=====

# 6
This record from the Alexandria database describes a relaxed structure of SnIrRuCl2. The functional is PBE.

Unit cell a=4.9929 b=4.9929 c=5.5478 alpha=90.00 beta=90.00 gamma=90.00
Positions (direct):
Sn (0.0000, 0.0000, 0.0000)
Ir (0.5000, 0.5000, 0.5000)
Ru (0.0000, 0.0000, 0.5000)
Cl (0.0000, 0.5000, 0.0000)
Cl (0.5000, 0.0000, 0.0000)

## Properties
The value obtained for the raw formation energy is 1.564 eV/atom. The value obtained for the total energy is -3.60 eV/atom.

=====

Number 1: V 17.8 Å³/atom. Number 2: V 16.6 Å³/atom. Number 3: V 21.0 Å³/atom. Number 4: V 53.5 Å³/atom. Number 5: V 26.2 Å³/atom. Number 6: V 27.7 Å³/atom.